First-principles (PBE) data for crystalline Dy3YMg7 at its relaxed geometry, as listed in the Alexandria database.

Geometry as POSCAR:
```
Dy3YMg7
1.0
5.364 -5.084 0.000
5.364 5.084 0.000
-1.844 0.000 5.797
Dy Y Mg
3 1 7
direct
0.000 0.000 0.000 Dy
0.193 0.807 0.500 Dy
0.807 0.193 0.500 Dy
0.500 0.500 0.000 Y
0.051 0.563 0.810 Mg
0.238 0.238 0.520 Mg
0.437 0.949 0.190 Mg
0.500 0.500 0.500 Mg
0.563 0.051 0.810 Mg
0.762 0.762 0.480 Mg
0.949 0.437 0.190 Mg
```

Calculated values
Fermi-level density of states = 9.8 states/eV/cell
E = -2.669 eV per atom
space-group type = C2/m
DFT formation energy = 0.188 eV per atom